Record 1
A plane-wave DFT calculation with PBE was carried out for Ba2ZnPb3 after structural relaxation.

Properties
Energy above the lowest structure with this stoichiometry (eV/f.u.): 0.086
SG: No. 69
Final energy (eV per atom): -3.092

extended XYZ file:
```
12
Lattice="-6.627 2.644 -0.113 -0.387 -1.221 7.020 6.662 7.263 -1.893" Properties=species:S:1:pos:R:3 pbc="T T T"
Pb -1.443 5.930 4.475
Pb 4.215 6.255 -0.298
Pb 1.090 2.756 0.539
Pb -4.567 2.431 5.312
Pb 0.993 6.909 2.874
Pb -1.346 1.777 2.140
Ba -5.164 1.738 1.560
Ba -1.736 5.309 0.724
Ba 1.384 3.377 4.290
Ba -1.850 -0.315 5.348
Zn 2.075 5.246 1.027
Zn -2.428 3.440 3.988
```

***

Record 2
A plane-wave DFT calculation with PBE was carried out for Pr5DyAg6 after structural relaxation.

Properties
SG: No. 10
Final energy (eV per atom): -4.055

extended XYZ file:
```
12
Lattice="5.057 -0.030 1.716 0.040 7.445 0.013 0.031 -0.015 8.488" Properties=species:S:1:pos:R:3 pbc="T T T"
Ag 4.260 1.778 4.187
Ag 4.281 5.606 4.194
Ag 2.559 5.647 0.868
Ag 0.868 5.621 6.029
Ag 2.538 1.768 0.861
Ag 0.847 1.793 6.022
Pr 3.389 -0.030 6.815
Pr 1.707 3.707 3.438
Pr 1.699 -0.015 3.388
Pr 3.422 3.692 6.779
Pr 0.020 3.723 0.007
Dy 0.000 0.000 0.000
```

***

Record 3
A plane-wave DFT calculation with PBE was carried out for TbSm4Ag5 after structural relaxation.

Properties
SG: No. 123
Final energy (eV per atom): -4.065

extended XYZ file:
```
10
Lattice="3.672 0.000 0.000 0.000 3.672 0.000 0.000 0.000 18.782" Properties=species:S:1:pos:R:3 pbc="T T T"
Ag 1.836 1.836 13.169
Ag 1.836 1.836 1.795
Ag 1.836 1.836 5.612
Ag 1.836 1.836 16.987
Ag 1.836 1.836 9.391
Sm 0.000 0.000 7.503
Sm 0.000 0.000 15.063
Sm 0.000 0.000 3.719
Sm 0.000 0.000 11.279
Tb 0.000 0.000 0.000
```

***

| no. | M_tot (μB/f.u.) |
| --- | --- |
| 1 | 0.00 |
| 2 | 0.00 |
| 3 | 0.00 |